Entry from Alexandria: Tb6YTm after structural relaxation (PBE).

Cell: 6.5426 6.7385 6.9075 Å, 118.70 102.83 90.46°
Space group P-1 (No. 2)
Symmetry-distinct sites (fractional):
Tb 0.2279 0.4036 0.4739 [2 per cell]
Tb 0.2487 0.9488 0.9990 [2 per cell]
Tb 0.2682 0.9244 0.5191 [2 per cell]
Y 0.5000 0.5000 0.0000 [1 per cell]
Tm 0.0000 0.5000 0.0000 [1 per cell]

Results
total moment: 0.0 μB/cell
offset from the most stable computed form: 17.4 kJ/mol of atoms
energy of formation: 0.20 eV per atom
Fermi-level density of states: 13.94 states/eV/cell